Entry 1:
DFT (PBE-GGA) results for an optimized crystal structure of SmMg.

Structure (POSCAR):
```
SmMg
1.0
5.573 0.000 0.000
0.000 10.481 0.000
0.000 0.000 5.904
Sm Mg
6 6
direct
0.000 0.069 0.000
0.000 0.268 0.534
0.000 0.732 0.034
0.000 0.931 0.500
0.500 0.254 0.157
0.500 0.746 0.657
0.000 0.418 0.017
0.000 0.582 0.517
0.500 0.088 0.655
0.500 0.427 0.685
0.500 0.573 0.185
0.500 0.912 0.155
```

Calculated values
The value obtained for the density is 5.0 Mg/m³. For the offset from the most stable computed form, the calculation gives 114 meV/atom.


Entry 2:
DFT (PBE-GGA) results for an optimized crystal structure of SmMg3.

Structure (POSCAR):
```
SmMg3
1.0
0.000 3.686 3.686
3.686 0.000 3.686
3.686 3.686 0.000
Sm Mg
1 3
direct
0.000 0.000 0.000
0.250 0.250 0.250
0.500 0.500 0.500
0.750 0.750 0.750
```

Calculated values
As for the electronic total energy: -2.4451 eV per atom. The value obtained for the density is 3.7 Mg/m³.


Entry 3:
DFT (PBE-GGA) results for an optimized crystal structure of SmMg.

Structure (POSCAR):
```
SmMg
1.0
6.209 0.000 0.000
0.000 6.209 0.000
0.000 0.000 6.209
Sm Mg
4 4
direct
0.165 0.335 0.665
0.335 0.665 0.165
0.665 0.165 0.335
0.835 0.835 0.835
0.156 0.156 0.156
0.344 0.844 0.656
0.656 0.344 0.844
0.844 0.656 0.344
```

Calculated values
The value obtained for the density is 4.8 Mg/m³. For the offset from the most stable computed form, the calculation gives 204 meV/atom.


Entry 4:
DFT (PBE-GGA) results for an optimized crystal structure of Sm2Mg.

Structure (POSCAR):
```
Sm2Mg
1.0
3.560 0.000 0.000
-1.780 3.083 0.000
0.000 0.000 16.877
Sm Mg
4 2
direct
0.333 0.667 0.265
0.333 0.667 0.911
0.667 0.333 0.089
0.667 0.333 0.735
0.333 0.667 0.572
0.667 0.333 0.428
```

Calculated values
The value obtained for the density is 5.8 Mg/m³. For the offset from the most stable computed form, the calculation gives 0 meV/atom.


Entry 5:
DFT (PBE-GGA) results for an optimized crystal structure of SmMg.

Structure (POSCAR):
```
SmMg
1.0
6.255 0.000 0.000
0.000 5.387 0.000
0.000 0.000 6.755
Sm Mg
4 4
direct
0.124 0.250 0.133
0.376 0.750 0.633
0.624 0.250 0.367
0.876 0.750 0.867
0.081 0.250 0.626
0.419 0.750 0.126
0.581 0.250 0.874
0.919 0.750 0.374
```

Calculated values
The value obtained for the density is 5.1 Mg/m³. For the offset from the most stable computed form, the calculation gives 81 meV/atom.


Entry 6:
DFT (PBE-GGA) results for an optimized crystal structure of SmMg.

Structure (POSCAR):
```
SmMg
1.0
0.000 3.868 3.868
3.868 0.000 3.868
3.868 3.868 0.000
Sm Mg
2 2
direct
0.125 0.125 0.125
0.875 0.875 0.875
0.375 0.375 0.375
0.625 0.625 0.625
```

Calculated values
The value obtained for the density is 5.0 Mg/m³. For the offset from the most stable computed form, the calculation gives 208 meV/atom.